Mg3TeRh | PBE | optimized geometry

The total energy comes out at -3.210 eV per atom. The value obtained for the density of states at the Fermi level is 0.619 states/eV/atom. For the energy above the most stable polymorph in this dataset, the calculation gives 0 meV per atom. For the total moment, the calculation gives 0.0000 μB per atom.

Unit cell a=4.958 b=4.958 c=4.958 alpha=90.00 beta=90.00 gamma=90.00
Element x y z (fractional)
Te  0.500  0.500  0.500
Rh  0.000  0.000  0.000
Mg  0.000  0.500  0.000
Mg  0.500  0.000  0.000
Mg  0.000  0.000  0.500

=====

Mg2TeRh | PBE | optimized geometry

The total energy comes out at -3.904 eV per atom. The value obtained for the density of states at the Fermi level is 0.180 states/eV/atom. For the total moment, the calculation gives 0.0000 μB per atom.

Unit cell a=4.396 b=4.396 c=5.300 alpha=90.00 beta=90.00 gamma=120.00
Element x y z (fractional)
Te  0.000  0.000  0.500
Mg  0.333  0.667  0.182
Mg  0.667  0.333  0.818
Rh  0.000  0.000  0.000

=====

MgTe2Rh | PBE | optimized geometry

The total energy comes out at -4.229 eV per atom. The value obtained for the density of states at the Fermi level is 0.738 states/eV/atom. For the total moment, the calculation gives 0.0000 μB per atom.

Unit cell a=6.884 b=6.884 c=6.884 alpha=148.64 beta=142.62 gamma=49.57
Element x y z (fractional)
Mg  0.750  0.250  0.500
Te  0.403  0.403  0.000
Te  0.097  0.097  0.000
Rh  0.250  0.750  0.500

=====

MgTe2Rh | PBE | optimized geometry

The total energy comes out at -4.094 eV per atom. The value obtained for the density of states at the Fermi level is 0.660 states/eV/atom. For the total moment, the calculation gives 0.0000 μB per atom.

Unit cell a=6.116 b=6.116 c=7.794 alpha=66.90 beta=66.90 gamma=90.00
Element x y z (fractional)
Te  0.375  0.338  0.750
Te  0.662  0.125  0.250
Te  0.088  0.625  0.250
Te  0.875  0.912  0.750
Rh  0.000  0.000  0.000
Rh  0.750  0.250  0.500
Mg  0.500  0.500  0.000
Mg  0.250  0.750  0.500